Density functional theory data (PBE with a Hubbard U) for Ba2Mn2AlO6 after structural relaxation.

## Properties
Total DFT energy (no corrections) (eV per cell): -224.981
Magnetization (μB/cell): 27.00
DOS(E_F) (states/eV/cell): 16.15
Calculated density (g/cm3): 5.1
Calculated volume (A^3/atom): 15.2

Cell lengths 5.9358, 5.9358, 16.4032 Å; angles 90.00, 90.00, 120.00 degrees
Space group R-3m (No. 166, hexagonal axes)
One atom of each set of equivalent atoms:
1 Ba 0.0000 0.0000 0.2125
2 Mn 0.0000 0.0000 0.4078
3 Al 0.0000 0.0000 0.0000
4 O 0.0358 0.5179 0.7417